# 1
Material: AcPmSiRh
Method: DFT, PBE
State: optimized geometry

DOS(E_F)   13.948 states/eV/cell
Crystal system   cubic
Formation energy from raw total energies   -0.4339 eV per atom

a = 7.3794 Å, b = 7.3794 Å, c = 7.3794 Å
α = 90.00°, β = 90.00°, γ = 90.00°
Space group F-43m (No. 216)
Inequivalent atoms, fractional coordinates:
Ac 0.0000 0.0000 0.0000 (multiplicity 4)
Pm 0.0000 0.0000 0.5000 (multiplicity 4)
Si 0.2500 0.2500 0.2500 (multiplicity 4)
Rh 0.2500 0.2500 0.7500 (multiplicity 4)



# 2
Material: Ac2PmSn3Rh4
Method: DFT, PBE
State: optimized geometry

DOS(E_F)   7.702 states/eV/cell
Crystal system   tetragonal
Calculated formation energy   -0.754 eV per atom

a = 4.5338 Å, b = 4.5338 Å, c = 11.6031 Å
α = 90.00°, β = 90.00°, γ = 90.00°
Space group P-4m2 (No. 115)
Inequivalent atoms, fractional coordinates:
Ac 0.0000 0.5000 0.2348 (multiplicity 2)
Pm 0.0000 0.0000 0.5000 (multiplicity 1)
Sn 0.0000 0.5000 0.8788 (multiplicity 2)
Sn 0.5000 0.5000 0.5000 (multiplicity 1)
Rh 0.0000 0.0000 0.0000 (multiplicity 1)
Rh 0.0000 0.5000 0.6496 (multiplicity 2)
Rh 0.5000 0.5000 0.0000 (multiplicity 1)



# 3
Material: Ac2PmTe3Rh4
Method: DFT, PBE
State: optimized geometry

DOS(E_F)   8.426 states/eV/cell
Crystal system   tetragonal
Formation energy from raw total energies   -0.8492 eV per atom

a = 4.5782 Å, b = 4.5782 Å, c = 11.3822 Å
α = 90.00°, β = 90.00°, γ = 90.00°
Space group P-4m2 (No. 115)
Inequivalent atoms, fractional coordinates:
Ac 0.0000 0.5000 0.2198 (multiplicity 2)
Pm 0.0000 0.0000 0.5000 (multiplicity 1)
Te 0.0000 0.5000 0.8721 (multiplicity 2)
Te 0.5000 0.5000 0.5000 (multiplicity 1)
Rh 0.0000 0.0000 0.0000 (multiplicity 1)
Rh 0.0000 0.5000 0.6430 (multiplicity 2)
Rh 0.5000 0.5000 0.0000 (multiplicity 1)



Number 1: size of the total moment 0.0 μB/f.u.. Number 2: size of the total moment 0.0 μB/f.u.. Number 3: size of the total moment 0.5 μB/f.u..